A relaxed structure of LiMoF2, computed with PBE with a Hubbard U.

Cell and atoms, written as CIF:
```
data_LiMoF2
_chemical_formula_sum 'Li4 Mo4 F8'
_cell_length_a 6.044
_cell_length_b 6.044
_cell_length_c 6.044
_cell_angle_alpha 90.00
_cell_angle_beta 90.00
_cell_angle_gamma 90.00
_space_group_name_H-M_alt 'F m -3 m'
_space_group_IT_number 225
_space_group_name_Hall '-F 4 2 3'
loop_
_atom_site_label
_atom_site_type_symbol
_atom_site_fract_x
_atom_site_fract_y
_atom_site_fract_z
Li1 Li 0.000 0.000 0.000
Mo1 Mo 0.000 0.000 0.500
F1 F 0.250 0.250 0.250
```

Computed properties:
As for the offset from the most stable computed form: 411.2 meV/atom. For the density of states at the Fermi level, the calculation gives 0.9 states/eV/f.u.